(1)
First-principles (PBE) data for an optimized crystal structure of Gd2HPt, as listed in the Alexandria database.

Geometry as POSCAR:
```
Gd2HPt
1.0
-0.2020 3.9873 0.4464
-1.1704 1.5719 3.5069
5.2680 1.9332 3.1926
H Gd Pt
1 2 1
Direct
0.5000 0.5000 0.5000
0.2432 0.2432 0.2704
0.7568 0.7568 0.7296
0.0000 0.0000 0.0000
```

Total DFT energy (no corrections) = -40.45 eV for the cell shown
M_tot = 14.2 μB per formula unit
SG = No. 166

***

(2)
First-principles (PBE) data for an optimized crystal structure of Mn2NbCu2, as listed in the Alexandria database.

Geometry as POSCAR:
```
Mn2NbCu2
1.0
-3.3480 -5.7655 2.5916
2.3476 -3.8570 -5.5478
2.2656 -0.6740 1.4273
Mn Nb Cu
4 2 4
Direct
0.6765 0.8235 0.5000
0.3235 0.1765 0.5000
0.1765 0.6765 0.5000
0.8235 0.3235 0.5000
0.5000 0.5000 0.0000
0.0000 0.0000 0.0000
0.8795 0.6205 0.0000
0.6205 0.1205 0.0000
0.1205 0.3795 0.0000
0.3795 0.8795 0.0000
```

Total DFT energy (no corrections) = -71.06 eV for the cell shown
M_tot = 6.4 μB per formula unit
SG = No. 127
Formation energy from the elements = 21 kJ/mol of atoms

***

(3)
First-principles (PBE) data for an optimized crystal structure of Pm6NdPb, as listed in the Alexandria database.

Geometry as POSCAR:
```
Pm6NdPb
1.0
5.0103 0.0000 0.0000
0.0000 5.0103 0.0000
0.0000 0.0000 10.4280
Pm Pb Nd
6 1 1
Direct
0.0000 0.5000 0.7576
0.5000 0.0000 0.2424
0.5000 0.5000 0.0000
0.0000 0.5000 0.2424
0.5000 0.5000 0.5000
0.5000 0.0000 0.7576
0.0000 0.0000 0.0000
0.0000 0.0000 0.5000
```

Total DFT energy (no corrections) = -38.10 eV for the cell shown
M_tot = 0.0 μB per formula unit
SG = No. 123
Formation energy from the elements = -13 kJ/mol of atoms

***

(4)
First-principles (PBE) data for an optimized crystal structure of Tc2AuCl, as listed in the Alexandria database.

Geometry as POSCAR:
```
Tc2AuCl
1.0
-0.4359 2.6451 -1.0322
-1.5620 -1.0955 -2.1476
-7.2131 0.7162 4.8811
Tc Au Cl
2 1 1
Direct
0.5000 0.5000 0.2081
0.0000 0.0000 0.0210
0.0000 0.0000 0.4481
0.5000 0.5000 0.8228
```

Total DFT energy (no corrections) = -25.26 eV for the cell shown
M_tot = 0.0 μB per formula unit
SG = No. 99
E_form (uncorrected) = 148 meV/atom

***

(5)
First-principles (PBE) data for an optimized crystal structure of LaReSb2, as listed in the Alexandria database.

Geometry as POSCAR:
```
LaReSb2
1.0
4.2216 0.0000 0.0000
0.0000 4.7375 0.0000
0.0000 0.0000 4.7375
La Re Sb
1 1 2
Direct
0.5000 0.5000 0.0000
0.5000 0.0000 0.5000
0.0000 0.0000 0.0000
0.0000 0.5000 0.5000
```

Total DFT energy (no corrections) = -24.77 eV for the cell shown
M_tot = 0.8 μB per formula unit
SG = No. 123
E_form (uncorrected) = 214 meV/atom